Entry 1:
Entry from Alexandria via LeMat-Bulk: crystalline Sm15Y4Er at its relaxed geometry (PBE-GGA).

Formation enthalpy at 0 K ... 15 meV per atom
Symmetry ... P4/mmm

Cell lengths 5.1101, 5.1101, 25.4874 Å; angles 90.00, 90.00, 90.00 degrees
With the nearest neighbours (Å) after each atom.
Positions (direct):
Sm: 0.5000 0.5000 0.0000  8 Sm 3.59, 4 Er 3.61
Sm: 0.5000 0.5000 0.1993  8 Sm 3.61, 4 Y 3.61
Sm: 0.5000 0.5000 0.3998  8 Sm 3.61, 4 Y 3.61
Sm: 0.5000 0.5000 0.6002  8 Sm 3.61, 4 Y 3.61
Sm: 0.5000 0.5000 0.8007  8 Sm 3.61, 4 Y 3.61
Sm: 0.5000 0.0000 0.0991  2 Er 3.59, 8 Sm 3.59-3.61, 2 Y 3.61
Sm: 0.5000 0.0000 0.2996  4 Y 3.61, 8 Sm 3.61
Sm: 0.5000 0.0000 0.5000  8 Sm 3.61, 4 Y 3.61
Sm: 0.5000 0.0000 0.7004  4 Y 3.61, 8 Sm 3.61
Sm: 0.5000 0.0000 0.9009  2 Er 3.59, 8 Sm 3.59-3.61, 2 Y 3.61
Sm: 0.0000 0.5000 0.0991  2 Er 3.59, 8 Sm 3.59-3.61, 2 Y 3.61
Sm: 0.0000 0.5000 0.2996  4 Y 3.61, 8 Sm 3.61
Sm: 0.0000 0.5000 0.5000  8 Sm 3.61, 4 Y 3.61
Sm: 0.0000 0.5000 0.7004  4 Y 3.61, 8 Sm 3.61
Sm: 0.0000 0.5000 0.9009  8 Sm 3.59-3.61, 2 Er 3.59, 2 Y 3.61
Y: 0.0000 0.0000 0.1994  12 Sm 3.61
Y: 0.0000 0.0000 0.3998  12 Sm 3.61
Y: 0.0000 0.0000 0.6002  12 Sm 3.61
Y: 0.0000 0.0000 0.8006  12 Sm 3.61
Er: 0.0000 0.0000 0.0000  12 Sm 3.59-3.61

***

Entry 2:
Entry from Alexandria via LeMat-Bulk: crystalline PaSbPdRu at its relaxed geometry (PBE-GGA).

Formation energy (no corrections) ... -34 kJ/mol of atoms
Symmetry ... F-43m

Cell lengths 4.8171, 4.8171, 4.8171 Å; angles 60.00, 60.00, 60.00 degrees
With the nearest neighbours (Å) after each atom.
Positions (direct):
Sb: 0.0000 0.0000 0.0000  4 Ru 2.95, 4 Pd 2.95
Pa: 0.5000 0.5000 0.5000  4 Ru 2.95, 4 Pd 2.95
Pd: 0.2500 0.2500 0.2500  4 Sb 2.95, 4 Pa 2.95
Ru: 0.7500 0.7500 0.7500  4 Pa 2.95, 4 Sb 2.95

***

Entry 3:
Entry from Alexandria via LeMat-Bulk: crystalline ReNi6Ir2 at its relaxed geometry (PBE-GGA).

Formation enthalpy at 0 K ... 79 meV per atom
Symmetry ... C2/c

Cell lengths 6.4326, 6.5422, 6.4326 Å; angles 65.47, 83.99, 65.47 degrees
With the nearest neighbours (Å) after each atom.
Positions (direct):
Re: 0.8424 0.7500 0.1576  8 Ni 2.50-2.79, 4 Ir 2.56-2.60
Re: 0.1576 0.2500 0.8424  8 Ni 2.50-2.79, 4 Ir 2.56-2.60
Ni: 0.3999 0.5455 0.6594  5 Ni 2.38-2.60, 3 Ir 2.52-2.58
Ni: 0.3406 0.9545 0.6001  5 Ni 2.38-2.60, 3 Ir 2.52-2.58
Ni: 0.6001 0.4545 0.3406  5 Ni 2.38-2.60, 3 Ir 2.52-2.58
Ni: 0.6594 0.0455 0.3999  5 Ni 2.38-2.60, 3 Ir 2.52-2.58
Ni: 0.9369 0.1362 0.6170  7 Ni 2.38-2.65, 2 Ir 2.52-2.54, 1 Re 2.62
Ni: 0.3830 0.3638 0.0631  7 Ni 2.38-2.65, 2 Ir 2.52-2.54, 1 Re 2.62
Ni: 0.0631 0.8638 0.3830  7 Ni 2.38-2.65, 2 Ir 2.52-2.54, 1 Re 2.62
Ni: 0.6170 0.6362 0.9369  7 Ni 2.38-2.65, 2 Ir 2.52-2.54, 1 Re 2.62
Ni: 0.1946 0.8128 0.0053  7 Ni 2.47-2.66, 2 Re 2.50-2.52, 2 Ir 2.56-2.76
Ni: 0.9947 0.6872 0.8054  7 Ni 2.47-2.66, 2 Re 2.50-2.52, 2 Ir 2.56-2.76
Ni: 0.8054 0.1872 0.9947  7 Ni 2.47-2.66, 2 Re 2.50-2.52, 2 Ir 2.56-2.76
Ni: 0.0053 0.3128 0.1946  7 Ni 2.47-2.66, 2 Re 2.50-2.52, 2 Ir 2.56-2.76
Ir: 0.4158 0.9252 0.2189  7 Ni 2.52-2.76, 2 Re 2.56-2.60
Ir: 0.7811 0.5748 0.5842  7 Ni 2.52-2.76, 2 Re 2.56-2.60
Ir: 0.5842 0.0748 0.7811  7 Ni 2.52-2.76, 2 Re 2.56-2.60
Ir: 0.2189 0.4252 0.4158  7 Ni 2.52-2.76, 2 Re 2.56-2.60

***

Entry 4:
Entry from Alexandria via LeMat-Bulk: crystalline Li3Mg3Tl4 at its relaxed geometry (PBE-GGA).

Formation enthalpy at 0 K ... -19 meV per atom
Symmetry ... I-43d

Cell lengths 8.5349, 8.5349, 8.5349 Å; angles 109.47, 109.47, 109.47 degrees
With the nearest neighbours (Å) after each atom.
Positions (direct):
Li: 0.1250 0.7500 0.3750  4 Tl 2.88, 4 Mg 3.02
Li: 0.3750 0.2500 0.1250  4 Tl 2.88, 4 Mg 3.02
Li: 0.6250 0.8750 0.2500  4 Tl 2.88, 4 Mg 3.02
Li: 0.8750 0.6250 0.7500  4 Tl 2.88, 4 Mg 3.02
Li: 0.2500 0.3750 0.6250  4 Tl 2.88, 4 Mg 3.02
Li: 0.7500 0.1250 0.8750  4 Tl 2.88, 4 Mg 3.02
Mg: 0.6250 0.7500 0.8750  4 Li 3.02, 4 Tl 3.18
Mg: 0.8750 0.2500 0.6250  4 Li 3.02, 4 Tl 3.18
Mg: 0.1250 0.3750 0.2500  4 Li 3.02, 4 Tl 3.18
Mg: 0.3750 0.1250 0.7500  4 Li 3.02, 4 Tl 3.18
Mg: 0.2500 0.8750 0.1250  4 Li 3.02, 4 Tl 3.18
Mg: 0.7500 0.6250 0.3750  4 Li 3.02, 4 Tl 3.18
Tl: 0.0000 0.0000 0.2882  3 Li 2.88, 3 Mg 3.18
Tl: 0.5000 0.2882 0.5000  3 Li 2.88, 3 Mg 3.18
Tl: 0.7118 0.2118 0.2118  3 Li 2.88, 3 Mg 3.18
Tl: 0.0000 0.0000 0.7882  3 Li 2.88, 3 Mg 3.18
Tl: 0.7882 0.5000 0.0000  3 Li 2.88, 3 Mg 3.18
Tl: 0.5000 0.7882 0.5000  3 Li 2.88, 3 Mg 3.18
Tl: 0.2882 0.5000 0.0000  3 Li 2.88, 3 Mg 3.18
Tl: 0.2118 0.7118 0.7118  3 Li 2.88, 3 Mg 3.18

***

Entry 5:
Entry from Alexandria via LeMat-Bulk: crystalline Ho2PaPtO8 at its relaxed geometry (PBE-GGA).

Formation energy (no corrections) ... -252 kJ/mol of atoms
Symmetry ... Cmmm

Cell lengths 5.0235, 5.0225, 6.7900 Å; angles 90.00, 90.00, 91.41 degrees
With the nearest neighbours (Å) after each atom.
Positions (direct):
Ho: 0.5000 0.5000 0.7581  6 O 2.24-2.28
Ho: 0.5000 0.5000 0.2419  6 O 2.24-2.28
Pa: 0.0000 0.0000 0.5000  6 O 2.12-2.24
Pt: 0.0000 0.0000 0.0000  6 O 1.98-2.06
O: 0.1827 0.8163 0.2324  1 Pt 2.06, 1 Pa 2.24, 1 Ho 2.28
O: 0.7173 0.7185 0.0000  1 Pt 1.98
O: 0.8174 0.1838 0.2324  1 Pt 2.06, 1 Pa 2.24, 1 Ho 2.28
O: 0.8173 0.1837 0.7676  1 Pt 2.06, 1 Pa 2.24, 1 Ho 2.28
O: 0.2827 0.2815 0.0000  1 Pt 1.98
O: 0.1826 0.8162 0.7676  1 Pt 2.06, 1 Pa 2.24, 1 Ho 2.28
O: 0.6979 0.6990 0.5000  1 Pa 2.12, 2 Ho 2.24
O: 0.3021 0.3010 0.5000  1 Pa 2.12, 2 Ho 2.24

***

Entry 6:
Entry from Alexandria via LeMat-Bulk: crystalline GaP2S2 at its relaxed geometry (PBE-GGA).

Formation energy (no corrections) ... 78 kJ/mol of atoms
Relative energy among the computed polymorphs ... 691 meV per atom
Symmetry ... P4/mmm

Cell lengths 4.5957, 4.5957, 4.6030 Å; angles 90.00, 90.00, 90.00 degrees
With the nearest neighbours (Å) after each atom.
Positions (direct):
P: 0.0000 0.5000 0.0000  2 S 2.30
P: 0.5000 0.0000 0.0000  2 S 2.30
S: 0.0000 0.0000 0.0000  4 P 2.30, 2 S 2.30
S: 0.0000 0.0000 0.5000  2 S 2.30
Ga: 0.5000 0.5000 0.5000  4 S 3.25, 8 P 3.25

***

Entry 7:
Entry from Alexandria via LeMat-Bulk: crystalline Ca2Pb3O8 at its relaxed geometry (PBE-GGA).

Formation energy (no corrections) ... -149 kJ/mol of atoms
Symmetry ... P6_3mc

Cell lengths 6.8081, 6.8081, 10.4022 Å; angles 90.00, 90.00, 120.00 degrees
With the nearest neighbours (Å) after each atom.
Positions (direct):
Ca: 0.6667 0.3333 0.0290  6 O 2.33-2.40
Ca: 0.3333 0.6667 0.5290  6 O 2.33-2.40
Ca: 0.6667 0.3333 0.3903  4 O 2.26-2.45
Ca: 0.3333 0.6667 0.8903  4 O 2.26-2.45
Pb: 0.6696 0.8348 0.2446  6 O 2.19-2.34
Pb: 0.8348 0.1652 0.7446  6 O 2.19-2.34
Pb: 0.1652 0.3304 0.2446  6 O 2.19-2.34
Pb: 0.8348 0.6696 0.7446  6 O 2.19-2.34
Pb: 0.3304 0.1652 0.7446  6 O 2.19-2.34
Pb: 0.1652 0.8348 0.2446  6 O 2.19-2.34
O: 0.8292 0.1708 0.1555  2 Pb 2.19, 1 Ca 2.33
O: 0.6585 0.8292 0.6555  2 Pb 2.19, 1 Ca 2.33
O: 0.1708 0.3415 0.6555  2 Pb 2.19, 1 Ca 2.33
O: 0.8292 0.6585 0.1555  2 Pb 2.19, 1 Ca 2.33
O: 0.3415 0.1708 0.1555  2 Pb 2.19, 1 Ca 2.33
O: 0.1708 0.8292 0.6555  2 Pb 2.19, 1 Ca 2.33
O: 0.5238 0.4762 0.8649  2 Pb 2.24, 2 Ca 2.26-2.40
O: 0.0476 0.5238 0.3649  2 Pb 2.24, 2 Ca 2.26-2.40
O: 0.4762 0.9524 0.3649  2 Pb 2.24, 2 Ca 2.26-2.40
O: 0.5238 0.0476 0.8649  2 Pb 2.24, 2 Ca 2.26-2.40
O: 0.0000 0.0000 0.3540  3 Pb 2.26
O: 0.0000 0.0000 0.8540  3 Pb 2.26
O: 0.3333 0.6667 0.1254  3 Pb 2.34, 1 Ca 2.45
O: 0.9524 0.4762 0.8649  2 Pb 2.24, 2 Ca 2.26-2.40
O: 0.4762 0.5238 0.3649  2 Pb 2.24, 2 Ca 2.26-2.40
O: 0.6667 0.3333 0.6254  3 Pb 2.34, 1 Ca 2.45

***

Entry 8:
Entry from Alexandria via LeMat-Bulk: crystalline SnTe2Ir at its relaxed geometry (PBE-GGA).

Formation energy (no corrections) ... 12 kJ/mol of atoms
Symmetry ... I-42d

Cell lengths 6.5520, 6.5520, 7.6754 Å; angles 64.73, 64.73, 90.00 degrees
With the nearest neighbours (Å) after each atom.
Positions (direct):
Ir: 0.0000 0.0000 0.0000  4 Te 2.56
Ir: 0.7500 0.2500 0.5000  4 Te 2.56
Te: 0.6849 0.1250 0.2500  2 Ir 2.56
Te: 0.0651 0.6250 0.2500  2 Ir 2.56
Te: 0.3750 0.3151 0.7500  2 Ir 2.56
Te: 0.8750 0.9349 0.7500  2 Ir 2.56
Sn: 0.5000 0.5000 0.0000  4 Te 3.02
Sn: 0.2500 0.7500 0.5000  4 Te 3.02

***

So what do the calculations give for raw total energy? Going down the list: -0.1854; -0.2712; -0.2619; -0.0742; -0.2930; -0.1329; -0.2116; -0.1712 hartree per atom.